one:
DFT (GGA-PBE) results for an optimized crystal structure of Sr2TlTe.

Properties
M_tot in μB per formula unit: 0.4
SG: Pmm2 (25)

```
Sr2TlTe
1.0
4.785 0.000 0.000
0.000 6.828 0.000
0.000 0.000 4.782
Sr Tl Te
2 1 1
Direct
0.000 0.000 0.000 Sr
0.500 0.500 0.498 Sr
0.000 0.500 0.998 Tl
0.500 0.000 0.500 Te
```

=====

two:
DFT (GGA-PBE) results for an optimized crystal structure of Sr2TlTe.

Properties
M_tot in μB per formula unit: 0.0
SG: Cmmm (65)

```
Sr2TlTe
1.0
3.739 -4.482 0.000
3.739 4.482 0.000
0.000 0.000 4.072
Sr Tl Te
2 1 1
Direct
0.000 0.500 0.000 Sr
0.500 0.000 0.000 Sr
0.000 0.000 0.500 Tl
0.500 0.500 0.500 Te
```

=====

Name the most stable of them. two.

=====

one:
DFT (GGA-PBE) results for an optimized crystal structure of Sr2TlTe.

Properties
M_tot in μB per formula unit: 0.6
SG: C2/m (12)

```
Sr2TlTe
1.0
3.891 -2.245 0.000
3.891 2.245 0.000
-2.584 0.000 8.970
Sr Tl Te
2 1 1
Direct
0.242 0.242 0.227 Sr
0.758 0.758 0.773 Sr
0.000 0.000 0.500 Tl
0.500 0.500 0.000 Te
```

=====

two:
DFT (GGA-PBE) results for an optimized crystal structure of Sr2TlTe.

Properties
M_tot in μB per formula unit: 0.0
SG: I-4m2 (119)

```
Sr2TlTe
1.0
-2.388 2.388 6.412
2.388 -2.388 6.412
2.388 2.388 -6.412
Sr Tl Te
2 1 1
Direct
0.000 0.000 0.000 Sr
0.750 0.250 0.500 Sr
0.500 0.500 0.000 Tl
0.250 0.750 0.500 Te
```

=====

three:
DFT (GGA-PBE) results for an optimized crystal structure of Sr2TlTe.

Properties
M_tot in μB per formula unit: 0.0
SG: Cm (8)

```
Sr2TlTe
1.0
6.399 -2.158 0.000
6.399 2.158 0.000
-1.006 0.000 5.271
Sr Tl Te
2 1 1
Direct
0.000 0.000 0.000 Sr
0.745 0.745 0.496 Sr
0.266 0.266 0.012 Tl
0.474 0.474 0.478 Te
```

=====

four:
DFT (GGA-PBE) results for an optimized crystal structure of Sr2TlTe.

Properties
M_tot in μB per formula unit: 0.0
SG: I-42d (122)

```
Sr2TlTe
1.0
-4.453 4.453 4.054
4.453 -4.453 4.054
4.453 4.453 -4.054
Sr Tl Te
4 2 2
Direct
0.111 0.625 0.986 Sr
0.375 0.361 0.486 Sr
0.639 0.125 0.014 Sr
0.875 0.889 0.514 Sr
0.250 0.750 0.500 Tl
0.500 0.500 0.000 Tl
0.000 0.000 0.000 Te
0.750 0.250 0.500 Te
```

=====

Name the most stable of them. one.

=====

one:
DFT (GGA-PBE) results for an optimized crystal structure of SrTl3Te.

Properties
M_tot in μB per formula unit: 0.0
SG: Pm-3m (221)

```
SrTl3Te
1.0
6.112 0.000 0.000
0.000 6.112 0.000
0.000 0.000 6.112
Sr Tl Te
1 3 1
Direct
0.000 0.000 0.000 Sr
0.000 0.500 0.500 Tl
0.500 0.000 0.500 Tl
0.500 0.500 0.000 Tl
0.500 0.500 0.500 Te
```

=====

two:
DFT (GGA-PBE) results for an optimized crystal structure of SrTl3Te.

Properties
M_tot in μB per formula unit: 0.0
SG: Pm-3m (221)

```
SrTl3Te
1.0
6.181 0.000 0.000
0.000 6.181 0.000
0.000 0.000 6.181
Sr Tl Te
1 3 1
Direct
0.000 0.000 0.000 Sr
0.000 0.000 0.500 Tl
0.000 0.500 0.000 Tl
0.500 0.000 0.000 Tl
0.500 0.500 0.500 Te
```

=====

Name the most stable of them. one.

=====

one:
DFT (GGA-PBE) results for an optimized crystal structure of SrTlTe3.

Properties
M_tot in μB per formula unit: 0.0
SG: Pm-3m (221)

```
SrTlTe3
1.0
6.179 0.000 0.000
0.000 6.179 0.000
0.000 0.000 6.179
Sr Tl Te
1 1 3
Direct
0.000 0.000 0.000 Sr
0.500 0.500 0.500 Tl
0.000 0.000 0.500 Te
0.000 0.500 0.000 Te
0.500 0.000 0.000 Te
```

=====

two:
DFT (GGA-PBE) results for an optimized crystal structure of SrTlTe3.

Properties
M_tot in μB per formula unit: 0.0
SG: Pm-3m (221)

```
SrTlTe3
1.0
5.805 0.000 0.000
0.000 5.805 0.000
0.000 0.000 5.805
Sr Tl Te
1 1 3
Direct
0.000 0.000 0.000 Sr
0.500 0.500 0.500 Tl
0.000 0.500 0.500 Te
0.500 0.000 0.500 Te
0.500 0.500 0.000 Te
```

=====

Name the most stable of them. two.

=====

one:
DFT (GGA-PBE) results for an optimized crystal structure of SrV2Te2.

Properties
M_tot in μB per formula unit: 1.7
SG: P4/mbm (127)

```
SrV2Te2
1.0
8.516 0.000 0.000
0.000 8.516 0.000
0.000 0.000 3.933
Sr V Te
2 4 4
Direct
0.000 0.000 0.000 Sr
0.500 0.500 0.000 Sr
0.079 0.421 0.500 V
0.421 0.921 0.500 V
0.579 0.079 0.500 V
0.921 0.579 0.500 V
0.156 0.656 0.000 Te
0.344 0.156 0.000 Te
0.656 0.844 0.000 Te
0.844 0.344 0.000 Te
```

=====

two:
DFT (GGA-PBE) results for an optimized crystal structure of SrV2Te2.

Properties
M_tot in μB per formula unit: 0.0
SG: I4/mmm (139)

```
SrV2Te2
1.0
-1.955 1.955 7.675
1.955 -1.955 7.675
1.955 1.955 -7.675
Sr V Te
1 2 2
Direct
0.000 0.000 0.000 Sr
0.250 0.750 0.500 V
0.750 0.250 0.500 V
0.372 0.372 0.000 Te
0.628 0.628 0.000 Te
```

=====

Name the most stable of them. two.

=====

one:
DFT (GGA-PBE) results for an optimized crystal structure of SrTe3W.

Properties
M_tot in μB per formula unit: 0.8
SG: Pm-3m (221)

```
SrTe3W
1.0
5.431 0.000 0.000
0.000 5.431 0.000
0.000 0.000 5.431
Sr Te W
1 3 1
Direct
0.000 0.000 0.000 Sr
0.000 0.500 0.500 Te
0.500 0.000 0.500 Te
0.500 0.500 0.000 Te
0.500 0.500 0.500 W
```

=====

two:
DFT (GGA-PBE) results for an optimized crystal structure of SrTe3W.

Properties
M_tot in μB per formula unit: 0.0
SG: Pm-3m (221)

```
SrTe3W
1.0
5.879 0.000 0.000
0.000 5.879 0.000
0.000 0.000 5.879
Sr Te W
1 3 1
Direct
0.000 0.000 0.000 Sr
0.000 0.000 0.500 Te
0.000 0.500 0.000 Te
0.500 0.000 0.000 Te
0.500 0.500 0.500 W
```

=====

Name the most stable of them. one.